# PBE BaLa2Se, relaxed
data_BaLa2Se
_chemical_formula_sum 'Ba1 La2 Se1'
_space_group_name_H-M_alt 'P 1'
_space_group_IT_number 1
_cell_length_a 4.091
_cell_length_b 4.091
_cell_length_c 9.086
_cell_angle_alpha 90.00
_cell_angle_beta 90.00
_cell_angle_gamma 90.00
loop_
_space_group_symop_operation_xyz
'x,y,z'
loop_
_atom_site_label
_atom_site_fract_x
_atom_site_fract_y
_atom_site_fract_z
Ba1 0.000 0.000 0.000
La1 0.000 0.000 0.589
La2 0.500 0.500 0.334
Se1 0.500 0.500 0.694
# raw total energy = -4.5741 eV per atom
# space group = P4mm (99)
# uncorrected formation energy = -0.76 eV per atom
# theoretical density = 5.4 Mg/m³